No. 1
This record from Alexandria describes a relaxed structure of MnCoAs2Se. The functional is PBEsol.

a b c (Å): 4.4496 4.4496 4.8143
angles (deg): 90.00 90.00 90.00
Closest atoms and distances in Å follow each position.
Space group P4/mmm (No. 123)
One atom of each set of equivalent atoms:
Mn1 0.0000 0.0000 0.0000 x1  4 As 2.22, 2 Se 2.41
Co1 0.5000 0.5000 0.5000 x1  4 Se 3.15, 8 As 3.28
As1 0.0000 0.5000 0.0000 x2  2 Mn 2.22
Se1 0.0000 0.0000 0.5000 x1  2 Mn 2.41

Summary:
Crystal system ... tetragonal
Formation energy (no corrections) ... 0.83 eV/atom
Size of the total moment ... 0.7300 μB per atom


No. 2
This record from Alexandria describes a relaxed structure of SrEuNiO4. The functional is PBEsol.

a b c (Å): 3.7621 3.7621 12.0007
angles (deg): 90.00 90.00 90.00
Closest atoms and distances in Å follow each position.
Space group I4mm (No. 107)
One atom of each set of equivalent atoms:
Sr1 0.0000 0.0000 0.0000 x2  9 O 2.41-2.68
Eu1 0.0000 0.0000 0.2808 x2  5 O 2.34-2.45
Ni1 0.0000 0.0000 0.6372 x2  6 O 1.89-1.95
O1 0.0000 0.0000 0.4760 x2  1 Ni 1.94
O2 0.0000 0.0000 0.7995 x2  1 Ni 1.95
O3 0.0000 0.5000 0.1498 x4  2 Ni 1.89

Summary:
Crystal system ... tetragonal
ΔE to the lowest computed polymorph ... 0 meV/atom
Formation energy (no corrections) ... -2.19 eV/atom
Size of the total moment ... 0.8806 μB per atom


No. 3
This record from Alexandria describes a relaxed structure of CdCoSeBr2. The functional is PBEsol.

a b c (Å): 5.2197 5.2197 5.2803
angles (deg): 90.00 90.00 90.00
Closest atoms and distances in Å follow each position.
Space group P4/mmm (No. 123)
One atom of each set of equivalent atoms:
Cd1 0.0000 0.0000 0.0000 x1  4 Br 2.61, 2 Se 2.64
Co1 0.5000 0.5000 0.5000 x1  4 Se 3.69, 8 Br 3.71
Se1 0.0000 0.0000 0.5000 x1  2 Cd 2.64
Br1 0.0000 0.5000 0.0000 x2  2 Cd 2.61

Summary:
Crystal system ... tetragonal
Formation energy (no corrections) ... 0.73 eV/atom
Size of the total moment ... 0.5308 μB per atom